# La2BeRh

A relaxed structure of La2BeRh (PBE, Alexandria via LeMat-Bulk).

## Properties
* size of the total moment: 0.0 Bohr magnetons per cell
* energy relative to the elements: -1.47 eV per formula unit
* volume: 99.2 Å³/cell

a = 4.1401 Å, b = 4.0759 Å, c = 6.2291 Å
α = 90.00°, β = 109.33°, γ = 90.00°
Last column: nearest neighbours and their distance in Å.
Space group Pm (No. 6)
One atom of each set of equivalent atoms:
1 La 0.0000 0.0000 0.0000  2 Rh 2.96, 4 Be 3.07
2 La 0.2747 0.5000 0.5491  2 Be 3.05, 4 Rh 3.11
3 Be 0.5837 0.5000 0.1676  2 Rh 2.33
4 Rh 0.6804 0.0000 0.3602  2 Be 2.33


# LaBe2Rh

A relaxed structure of LaBe2Rh (PBE, Alexandria via LeMat-Bulk).

## Properties
* size of the total moment: 0.0 Bohr magnetons per cell
* energy relative to the elements: -0.42 eV per formula unit
* volume: 66.9 Å³/cell

a = 3.0440 Å, b = 3.9941 Å, c = 5.6766 Å
α = 90.00°, β = 104.24°, γ = 90.00°
Last column: nearest neighbours and their distance in Å.
Space group P2/m (No. 10)
One atom of each set of equivalent atoms:
1 La 0.0000 0.0000 0.0000  2 Rh 2.87, 2 La 3.04, 4 Be 3.13
2 Be 0.3078 0.5000 0.6480  2 Be 2.19-2.27, 2 Rh 2.30
3 Rh 0.5000 0.0000 0.5000  4 Be 2.30


# LaBe2Rh

A relaxed structure of LaBe2Rh (PBE, Alexandria via LeMat-Bulk).

## Properties
* size of the total moment: 0.0 Bohr magnetons per cell
* energy relative to the elements: 0.34 eV per formula unit
* volume: 260.1 Å³/cell

a = 6.3837 Å, b = 6.3837 Å, c = 6.3837 Å
α = 90.00°, β = 90.00°, γ = 90.00°
Last column: nearest neighbours and their distance in Å.
Space group Fm-3m (No. 225)
One atom of each set of equivalent atoms:
1 La 0.0000 0.0000 0.0000  8 Be 2.76
2 Be 0.2500 0.2500 0.2500  4 La 2.76, 4 Rh 2.76
3 Rh 0.0000 0.0000 0.5000  8 Be 2.76


# LaBe2Rh

A relaxed structure of LaBe2Rh (PBE, Alexandria via LeMat-Bulk).

## Properties
* size of the total moment: 0.0 Bohr magnetons per cell
* energy relative to the elements: -0.92 eV per formula unit
* volume: 61.6 Å³/cell

a = 2.9430 Å, b = 3.0547 Å, c = 6.8562 Å
α = 90.00°, β = 90.00°, γ = 90.00°
Last column: nearest neighbours and their distance in Å.
Space group Pmmm (No. 47)
One atom of each set of equivalent atoms:
1 La 0.0000 0.0000 0.0000  4 La 2.94-3.05, 8 Be 3.15
2 Be 0.5000 0.5000 0.3390  1 Be 2.21, 4 Rh 2.39
3 Rh 0.0000 0.0000 0.5000  8 Be 2.39


# LaBe2Rh

A relaxed structure of LaBe2Rh (PBE, Alexandria via LeMat-Bulk).

## Properties
* size of the total moment: 0.0 Bohr magnetons per cell
* energy relative to the elements: -0.13 eV per formula unit
* volume: 130.4 Å³/cell

a = 4.7335 Å, b = 5.1194 Å, c = 5.3824 Å
α = 90.00°, β = 90.00°, γ = 90.00°
Last column: nearest neighbours and their distance in Å.
Space group Immm (No. 71)
One atom of each set of equivalent atoms:
1 La 0.0000 0.0000 0.0000  2 Rh 2.69, 8 Be 2.81-2.82
2 Be 0.0000 0.5000 0.2167  1 Be 2.33
3 Rh 0.0000 0.0000 0.5000  4 Be 2.64, 2 La 2.69


# LaBe2Rh

A relaxed structure of LaBe2Rh (PBE, Alexandria via LeMat-Bulk).

## Properties
* size of the total moment: 0.0 Bohr magnetons per cell
* energy relative to the elements: -0.27 eV per formula unit
* volume: 63.5 Å³/cell

a = 3.0558 Å, b = 3.0558 Å, c = 6.7954 Å
α = 90.00°, β = 90.00°, γ = 90.00°
Last column: nearest neighbours and their distance in Å.
Space group P4mm (No. 99)
One atom of each set of equivalent atoms:
1 La 0.0000 0.0000 0.0000  4 La 3.06, 4 Rh 3.14, 5 Be 3.17-3.28
2 Be 0.0000 0.0000 0.4825  4 Rh 2.38, 4 Be 2.47
3 Be 0.5000 0.5000 0.6590  1 Rh 2.20
4 Rh 0.5000 0.5000 0.3349  5 Be 2.20-2.38


# La2BeRh

A relaxed structure of La2BeRh (PBE, Alexandria via LeMat-Bulk).

## Properties
* size of the total moment: 0.0 Bohr magnetons per cell
* energy relative to the elements: -0.89 eV per formula unit
* volume: 92.7 Å³/cell

a = 3.6655 Å, b = 3.6654 Å, c = 6.8964 Å
α = 90.00°, β = 90.07°, γ = 90.00°
Last column: nearest neighbours and their distance in Å.
Space group P2/m (No. 10)
One atom of each set of equivalent atoms:
1 La 0.0008 0.0000 0.2517  4 Rh 3.10-3.11, 4 Be 3.12, 2 La 3.42-3.47
2 Be 0.5000 0.5000 0.0000  8 La 3.12, 2 Rh 3.45
3 Rh 0.5000 0.5000 0.5000  8 La 3.10-3.11, 2 Be 3.45


# La2BeSbRh6

A relaxed structure of La2BeSbRh6 (PBE, Alexandria via LeMat-Bulk).

## Properties
* size of the total moment: 0.0 Bohr magnetons per cell
* formation energy (no corrections): -0.42 eV per atom
* volume: 383.6 Å³/cell

a = 9.1523 Å, b = 9.1542 Å, c = 6.4673 Å
α = 90.00°, β = 134.93°, γ = 90.00°
Last column: nearest neighbours and their distance in Å.
Space group C2/m (No. 12)
One atom of each set of equivalent atoms:
1 La 0.0000 0.2499 0.0000  12 Rh 3.24-3.25
2 Be 0.0000 0.0000 0.5000  6 Rh 2.10
3 Sb 0.0000 0.5000 0.5000  6 Rh 2.48
4 Rh 0.0000 0.2294 0.5000  1 Be 2.10
5 Rh 0.2294 0.0000 0.5002  1 Be 2.10
6 Rh 0.2294 0.0000 0.9588  1 Be 2.10